(1)
La2PrGe | PBE | relaxed

Cell and atoms, written as extended XYZ:
```
8
Lattice="-2.695 -3.216 -0.654 3.107 -0.974 5.810 -6.938 4.892 4.530" Properties=species:S:1:pos:R:3 pbc="T T T"
Ge -4.340 2.396 6.094
Ge -2.186 -1.694 3.591
La 0.134 -0.478 1.837
La -2.578 1.433 3.608
La -3.949 -0.732 6.078
La -6.660 1.180 7.848
Pr -6.310 1.702 3.826
Pr -0.216 -1.001 5.859
```

Computed properties:
Formation enthalpy at 0 K (eV/atom): -0.458
Energy relative to the lowest polymorph listed for this composition (meV/atom): 10
Electronic total energy (eV/f.u.): -21.1
Space-group type: P2_1/m

(2)
La2PrGe | PBE | relaxed

Cell and atoms, written as extended XYZ:
```
4
Lattice="-3.251 -2.395 0.995 -2.241 -1.814 -2.997 3.893 -9.029 -0.330" Properties=species:S:1:pos:R:3 pbc="T T T"
Ge -3.652 -2.819 -1.334
Pr -0.812 -6.602 -1.167
La 2.819 -7.599 -0.393
La -0.753 -2.838 -0.604
```

Computed properties:
Formation enthalpy at 0 K (eV/atom): -0.251
Energy relative to the lowest polymorph listed for this composition (meV/atom): 218
Electronic total energy (eV/f.u.): -20.3
Space-group type: R3m